P.
The following is a GGA-PBE calculation of a geometry-optimized Tm2SnSe structure, from Alexandria.

Values from the calculation:
Theoretical density: 8.719 Mg/m³

Structure (extended XYZ):
```
4
Lattice="1.891 1.092 8.236 -1.891 1.092 8.236 0.000 -2.183 8.236" Properties=species:S:1:pos:R:3 pbc="T T T"
Tm 0.000 0.000 0.000
Tm 0.000 0.000 3.762
Sn 0.000 0.000 14.253
Se 0.000 0.000 10.091
```

***

Q.
The following is a GGA-PBE calculation of a geometry-optimized Tm2SnSe structure, from Alexandria.

Values from the calculation:
Theoretical density: 8.461 Mg/m³

Structure (extended XYZ):
```
8
Lattice="6.636 -2.977 0.000 6.636 2.977 0.000 -2.669 0.000 5.321" Properties=species:S:1:pos:R:3 pbc="T T T"
Tm 0.613 0.000 1.973
Tm 4.600 0.000 0.640
Tm 6.003 0.000 4.681
Tm 9.990 0.000 3.348
Sn 3.310 0.000 3.323
Sn 7.293 0.000 1.998
Se -0.676 0.000 4.657
Se 11.280 0.000 0.664
```

***

R.
The following is a GGA-PBE calculation of a geometry-optimized Tm2SnSe structure, from Alexandria.

Values from the calculation:
Theoretical density: 8.498 Mg/m³

Structure (extended XYZ):
```
4
Lattice="2.082 1.202 6.966 -2.082 1.202 6.966 0.000 -2.405 6.966" Properties=species:S:1:pos:R:3 pbc="T T T"
Tm 0.000 0.000 5.175
Tm 0.000 0.000 15.724
Sn 0.000 0.000 0.000
Se 0.000 0.000 10.449
```

***

Energies relative to the most stable structure are P 13.8; Q 0.0; R 3.5, reported in kJ/mol of atoms.

***

P.
The following is a GGA-PBE calculation of a geometry-optimized V2SnSe structure, from Alexandria.

Values from the calculation:
Theoretical density: 6.226 Mg/m³

Structure (extended XYZ):
```
8
Lattice="-3.586 3.586 3.106 3.586 -3.586 3.106 3.586 3.586 -3.106" Properties=species:S:1:pos:R:3 pbc="T T T"
V 1.793 1.429 -0.777
V 2.157 -1.793 3.883
V 1.793 2.157 2.330
V 1.429 5.379 0.777
Sn 3.586 0.000 1.553
Sn 0.000 0.000 3.106
Se 0.000 0.000 0.000
Se 0.000 3.586 1.553
```

***

Q.
The following is a GGA-PBE calculation of a geometry-optimized V2SnSe structure, from Alexandria.

Values from the calculation:
Theoretical density: 7.503 Mg/m³

Structure (extended XYZ):
```
4
Lattice="0.000 3.212 3.212 3.212 0.000 3.212 3.212 3.212 0.000" Properties=species:S:1:pos:R:3 pbc="T T T"
V 1.606 1.606 1.606
V 4.818 4.818 4.818
Sn 0.000 0.000 0.000
Se 3.212 3.212 3.212
```

***

Energies relative to the most stable structure are P 6.6; Q 0.0, reported in kJ/mol of atoms.

***

P.
The following is a GGA-PBE calculation of a geometry-optimized V3SnSe structure, from Alexandria.

Values from the calculation:
Theoretical density: 4.461 Mg/m³

Structure (extended XYZ):
```
5
Lattice="5.072 0.000 0.000 0.000 5.072 0.000 0.000 0.000 5.072" Properties=species:S:1:pos:R:3 pbc="T T T"
V 0.000 0.000 2.536
V 0.000 2.536 0.000
V 2.536 0.000 0.000
Sn 0.000 0.000 0.000
Se 2.536 2.536 2.536
```

***

Q.
The following is a GGA-PBE calculation of a geometry-optimized V3SnSe structure, from Alexandria.

Values from the calculation:
Theoretical density: 6.330 Mg/m³

Structure (extended XYZ):
```
5
Lattice="4.513 0.000 0.000 0.000 4.513 0.000 0.000 0.000 4.513" Properties=species:S:1:pos:R:3 pbc="T T T"
V 0.000 0.000 2.257
V 0.000 2.257 0.000
V 2.257 0.000 0.000
Sn 2.257 2.257 2.257
Se 0.000 0.000 0.000
```

***

Energies relative to the most stable structure are P 82.5; Q 0.0, reported in kJ/mol of atoms.